Below is an optimized crystal structure of Cu4RhAu, with properties calculated at the GGA-PBEsol level.

a b c (Å): 4.7402 4.7402 4.7402
angles (deg): 60.00 60.00 60.00
Sites, in units of the cell vectors:
Cu (0.6247, 0.6247, 0.6247)
Cu (0.1260, 0.6247, 0.6247)
Cu (0.6247, 0.6247, 0.1260)
Cu (0.6247, 0.1260, 0.6247)
Rh (0.2500, 0.2500, 0.2500)
Au (0.0000, 0.0000, 0.0000)

Results
- Final energy: -4.8296 eV per atom